Entry 1:
Material: SmCuSnTe2Se
Method: DFT, PBE
State: relaxed

Cell and atoms, written as POSCAR:
```
SmCuSnTe2Se
1.0
2.122 -7.180 0.000
2.122 7.180 0.000
0.000 0.000 10.775
Sm Cu Sn Te Se
2 2 2 4 2
Direct
0.000 0.000 0.000
0.000 0.000 0.500
0.475 0.525 0.750
0.525 0.475 0.250
0.256 0.744 0.250
0.744 0.256 0.750
0.349 0.651 0.569
0.349 0.651 0.931
0.651 0.349 0.069
0.651 0.349 0.431
0.076 0.924 0.750
0.924 0.076 0.250
```

Values from the calculation:
Its magnetization is 0.00 Bohr magnetons per cell. The value obtained for the total energy is -4.45 eV/atom. As for the volume: 328.32 Å³/cell.


Entry 2:
Material: SrSmCuSe3
Method: DFT, PBE
State: relaxed

Cell and atoms, written as POSCAR:
```
SrSmCuSe3
1.0
8.649 0.000 0.000
0.000 4.132 0.000
-2.111 0.000 8.874
Sr Sm Cu Se
2 2 2 6
Direct
0.186 0.250 0.239
0.814 0.750 0.761
0.326 0.750 0.831
0.674 0.250 0.169
0.081 0.250 0.585
0.919 0.750 0.415
0.098 0.250 0.863
0.217 0.750 0.509
0.434 0.750 0.168
0.566 0.250 0.832
0.783 0.250 0.491
0.902 0.750 0.137
```

Values from the calculation:
Its magnetization is 0.00 Bohr magnetons per cell. The value obtained for the total energy is -4.97 eV/atom. As for the volume: 317.11 Å³/cell.


Entry 3:
Material: SrSmCuTe2Se
Method: DFT, PBE
State: relaxed

Cell and atoms, written as POSCAR:
```
SrSmCuTe2Se
1.0
2.133 -7.280 0.000
2.133 7.280 0.000
0.000 0.000 10.890
Sr Sm Cu Te Se
2 2 2 4 2
Direct
0.232 0.768 0.750
0.768 0.232 0.250
0.500 0.500 0.000
0.500 0.500 0.500
0.026 0.974 0.250
0.974 0.026 0.750
0.147 0.853 0.067
0.147 0.853 0.433
0.853 0.147 0.567
0.853 0.147 0.933
0.428 0.572 0.250
0.572 0.428 0.750
```

Values from the calculation:
Its magnetization is 0.00 Bohr magnetons per cell. The value obtained for the total energy is -4.63 eV/atom. As for the volume: 338.20 Å³/cell.


Entry 4:
Material: SrSmCuTeSe2
Method: DFT, PBE
State: relaxed

Cell and atoms, written as POSCAR:
```
SrSmCuTeSe2
1.0
2.077 -7.151 0.000
2.077 7.151 0.000
0.000 0.000 11.171
Sr Sm Cu Te Se
2 2 2 2 4
Direct
0.226 0.774 0.750
0.774 0.226 0.250
0.000 0.000 0.000
0.000 0.000 0.500
0.476 0.524 0.250
0.524 0.476 0.750
0.092 0.908 0.250
0.908 0.092 0.750
0.368 0.632 0.076
0.368 0.632 0.424
0.632 0.368 0.576
0.632 0.368 0.924
```

Values from the calculation:
Its magnetization is 0.00 Bohr magnetons per cell. The value obtained for the total energy is -4.80 eV/atom. As for the volume: 331.82 Å³/cell.


Entry 5:
Material: SmTlCuSe3
Method: DFT, PBE
State: relaxed

Cell and atoms, written as POSCAR:
```
SmTlCuSe3
1.0
4.053 0.000 0.000
0.000 11.053 0.000
-1.782 0.000 7.235
Sm Tl Cu Se
2 2 2 6
Direct
0.000 0.000 0.000
0.000 0.500 0.000
0.221 0.250 0.496
0.779 0.750 0.504
0.477 0.750 0.932
0.523 0.250 0.068
0.065 0.750 0.132
0.386 0.570 0.733
0.386 0.930 0.733
0.614 0.070 0.267
0.614 0.430 0.267
0.935 0.250 0.868
```

Values from the calculation:
Its magnetization is 0.02 Bohr magnetons per cell. The value obtained for the total energy is -4.46 eV/atom. As for the volume: 324.07 Å³/cell.


Entry 6:
Material: Cu5Sn2Se7
Method: DFT, PBE
State: relaxed

Cell and atoms, written as POSCAR:
```
Cu5Sn2Se7
1.0
6.378 -2.854 0.000
6.378 2.854 0.000
-1.266 0.000 8.922
Cu Sn Se
5 2 7
Direct
0.000 0.000 0.000
0.154 0.135 0.427
0.288 0.287 0.857
0.713 0.712 0.143
0.865 0.846 0.573
0.414 0.434 0.276
0.566 0.586 0.724
0.010 0.540 0.361
0.154 0.685 0.791
0.315 0.846 0.209
0.460 0.990 0.639
0.621 0.082 0.057
0.780 0.220 0.500
0.918 0.379 0.943
```

Values from the calculation:
The value obtained for the total energy is -3.93 eV/atom. As for the volume: 324.73 Å³/cell.


Entry 7:
Material: Tb3CuSnSe7
Method: DFT, PBE
State: relaxed

Cell and atoms, written as POSCAR:
```
Tb3CuSnSe7
1.0
10.274 0.000 0.000
-5.137 8.897 0.000
0.000 0.000 6.480
Tb Cu Sn Se
6 2 2 14
Direct
0.151 0.793 0.000
0.207 0.357 0.000
0.357 0.151 0.500
0.643 0.849 0.000
0.793 0.643 0.500
0.849 0.207 0.500
0.000 0.000 0.096
0.000 0.000 0.596
0.333 0.667 0.428
0.667 0.333 0.928
0.079 0.518 0.246
0.116 0.851 0.569
0.149 0.264 0.569
0.264 0.116 0.069
0.333 0.667 0.822
0.439 0.921 0.246
0.482 0.561 0.246
0.518 0.439 0.746
0.561 0.079 0.746
0.667 0.333 0.322
0.736 0.884 0.569
0.851 0.736 0.069
0.884 0.149 0.069
0.921 0.482 0.746
```

Values from the calculation:
Its magnetization is 0.00 Bohr magnetons per cell. The value obtained for the total energy is -5.11 eV/atom. As for the volume: 592.31 Å³/cell.


Entry 8:
Material: TbCuSnTe2Se
Method: DFT, PBE
State: relaxed

Cell and atoms, written as POSCAR:
```
TbCuSnTe2Se
1.0
2.101 -7.205 0.000
2.101 7.205 0.000
0.000 0.000 10.616
Tb Cu Sn Te Se
2 2 2 4 2
Direct
0.000 0.000 0.000
0.000 0.000 0.500
0.475 0.525 0.750
0.525 0.475 0.250
0.255 0.745 0.250
0.745 0.255 0.750
0.351 0.649 0.565
0.351 0.649 0.935
0.649 0.351 0.065
0.649 0.351 0.435
0.074 0.926 0.750
0.926 0.074 0.250
```

Values from the calculation:
Its magnetization is 0.00 Bohr magnetons per cell. The value obtained for the total energy is -4.44 eV/atom. As for the volume: 321.42 Å³/cell.


> What is the formula in the seventh record?

Tb3CuSnSe7